P | # PBE NpTc2Mo, optimized geometry
# N(E_F), states/eV per atom: 1.134
# Calculated volume, Å³/f.u.: 67.7
# Spin magnetization, μB/atom: 0.817
data_NpTc2Mo
_chemical_formula_sum 'Np4 Tc8 Mo4'
_space_group_name_H-M_alt 'F m -3 m'
_space_group_IT_number 225
_space_group_name_Hall '-F 4 2 3'
_cell_length_a 6.470
_cell_length_b 6.470
_cell_length_c 6.470
_cell_angle_alpha 90.00
_cell_angle_beta 90.00
_cell_angle_gamma 90.00
loop_
_atom_site_label
_atom_site_type_symbol
_atom_site_fract_x
_atom_site_fract_y
_atom_site_fract_z
Np1 Np 0.000 0.000 0.000
Tc1 Tc 0.250 0.250 0.250
Mo1 Mo 0.000 0.000 0.500

---

Q | # PBE NpTc2Mo, optimized geometry
# N(E_F), states/eV per atom: 1.428
# Calculated volume, Å³/f.u.: 66.9
# Spin magnetization, μB/atom: 0.508
data_NpTc2Mo
_chemical_formula_sum 'Np1 Tc2 Mo1'
_space_group_name_H-M_alt 'P 4/m m m'
_space_group_IT_number 123
_space_group_name_Hall '-P 4 2'
_cell_length_a 4.598
_cell_length_b 4.598
_cell_length_c 3.163
_cell_angle_alpha 90.00
_cell_angle_beta 90.00
_cell_angle_gamma 90.00
loop_
_atom_site_label
_atom_site_type_symbol
_atom_site_fract_x
_atom_site_fract_y
_atom_site_fract_z
Np1 Np 0.000 0.000 0.000
Tc1 Tc 0.000 0.500 0.500
Mo1 Mo 0.500 0.500 0.000

---

Among the structures above, stability is greatest for Q.